(1)
First-principles (GGA+U) data for a geometry-optimized MoPbIO2 structure, as listed in the Alexandria database.

## Properties
* magnetization: 4.7 μB/cell
* offset from the most stable computed form: 584 meV/atom

```
MoPbIO2
1.0
4.3098 0.0000 0.0000
0.0000 4.3098 0.0000
0.0000 0.0000 5.9469
Mo Pb I O
1 1 1 2
direct
0.0000 0.0000 0.0000
0.5000 0.5000 0.5000
0.5000 0.5000 0.0000
0.0000 0.5000 0.5000
0.5000 0.0000 0.5000
```

(2)
First-principles (GGA+U) data for a geometry-optimized MoPbIO4 structure, as listed in the Alexandria database.

## Properties
* magnetization: 0.0 μB/cell
* electronic total energy: -5.86 eV/atom

```
MoPbIO4
1.0
6.2469 -3.5856 0.0000
6.2469 3.5856 0.0000
-1.6571 0.0000 7.1881
Mo Pb I O
2 2 2 8
direct
0.1312 0.1312 0.2571
0.8688 0.8688 0.7429
0.2140 0.2140 0.8245
0.7860 0.7860 0.1755
0.4724 0.4724 0.3139
0.5276 0.5276 0.6861
0.0143 0.0143 0.7657
0.0271 0.6280 0.8610
0.1995 0.1995 0.4990
0.3720 0.9729 0.1390
0.6280 0.0271 0.8610
0.8005 0.8005 0.5010
0.9729 0.3720 0.1390
0.9857 0.9857 0.2343
```

(3)
First-principles (GGA+U) data for a geometry-optimized MoPbIO2 structure, as listed in the Alexandria database.

## Properties
* magnetization: 2.8 μB/cell
* offset from the most stable computed form: 0 meV/atom

```
MoPbIO2
1.0
4.2723 0.0000 0.0000
0.0000 4.2723 0.0000
0.0000 0.0000 5.7802
Mo Pb I O
1 1 1 2
direct
0.0000 0.0000 0.0000
0.5000 0.5000 0.5000
0.0000 0.0000 0.5000
0.0000 0.5000 0.0000
0.5000 0.0000 0.0000
```